Compound: CuAgPb2
Source: the Alexandria database
Functional: PBE
Structure: relaxed

Mass density, g cm⁻³: 10.6
Volume, A^3/atom: 22.98
Crystal system: monoclinic
ΔH_f (0 K), eV per atom: 0.204
Density of states at the Fermi level, states/eV/cell: 1.65

Lattice parameters (Å, degrees): 3.613 3.391 8.110 67.66 90.00 90.00
Element x y z (fractional)
Cu: 0.500 0.750 0.750
Pb: 0.000 0.015 0.982
Pb: 0.000 0.485 0.518
Ag: 0.500 0.250 0.250